Model a:
Material: Ba2Sr6Cd
Method: DFT, GGA-PBE
State: relaxed

Computed properties:
As for the volume: 472.6 Å³/f.u. The calculation puts the magnetization at 0.0 Bohr magnetons per cell.

Cell: 4.403 19.299 11.125 Å, 90.00 90.00 90.00°
Space group Amm2 (No. 38)
Asymmetric unit:
Ba (0.000, 0.175, 0.000) [4 per cell]
Sr (0.000, 0.000, 0.762) [2 per cell]
Sr (0.000, 0.117, 0.370) [4 per cell]
Sr (0.500, 0.000, 0.111) [2 per cell]
Sr (0.500, 0.175, 0.679) [4 per cell]
Cd (0.500, 0.000, 0.515) [2 per cell]

---

Model b:
Material: Ba2Sr6Cd
Method: DFT, GGA-PBE
State: relaxed

Computed properties:
As for the volume: 478.7 Å³/f.u. The calculation puts the magnetization at 0.0 Bohr magnetons per cell.

Cell: 4.270 12.310 18.213 Å, 90.00 90.00 90.00°
Space group Immm (No. 71)
Asymmetric unit:
Ba (0.000, 0.000, 0.131) [4 per cell]
Sr (0.000, 0.240, 0.500) [4 per cell]
Sr (0.000, 0.345, 0.178) [8 per cell]
Cd (0.000, 0.500, 0.000) [2 per cell]

---

Here are the energies relative to the best structure, in meV/atom: model a 0; model b 27.

---

Model a:
Material: Ba2TaCd
Method: DFT, GGA-PBE
State: relaxed

Computed properties:
As for the volume: 134.8 Å³/f.u. The calculation puts the magnetization at 0.0 Bohr magnetons per cell.

Cell: 3.576 5.270 7.369 Å, 90.00 103.96 90.00°
Space group Pm (No. 6)
Asymmetric unit:
Ba (0.000, 0.000, 0.000) [1 per cell]
Ba (0.307, 0.500, 0.621) [1 per cell]
Ta (0.704, 0.000, 0.414) [1 per cell]
Cd (0.608, 0.500, 0.217) [1 per cell]

---

Model b:
Material: Ba2TaCd
Method: DFT, GGA-PBE
State: relaxed

Computed properties:
As for the volume: 140.5 Å³/f.u. The calculation puts the magnetization at 0.0 Bohr magnetons per cell.

Cell: 3.763 3.763 9.921 Å, 90.00 90.00 90.00°
Space group P4mm (No. 99)
Asymmetric unit:
Ba (0.000, 0.000, 0.000) [1 per cell]
Ba (0.500, 0.500, 0.393) [1 per cell]
Ta (0.500, 0.500, 0.758) [1 per cell]
Cd (0.000, 0.000, 0.636) [1 per cell]

---

Here are the energies relative to the best structure, in meV/atom: model a 90; model b 0.

---

Model a:
Material: Ba2TaCd
Method: DFT, GGA-PBE
State: relaxed

Computed properties:
As for the volume: 129.2 Å³/f.u. The calculation puts the magnetization at 0.0 Bohr magnetons per cell.

Cell: 4.692 4.692 23.466 Å, 90.00 90.00 90.00°
Space group I-42d (No. 122)
Asymmetric unit:
Ba (0.242, 0.250, 0.125) [8 per cell]
Ta (0.000, 0.000, 0.000) [4 per cell]
Cd (0.000, 0.000, 0.500) [4 per cell]

---

Model b:
Material: Ba2TaCd
Method: DFT, GGA-PBE
State: relaxed

Computed properties:
As for the volume: 141.3 Å³/f.u. The calculation puts the magnetization at 2.7 Bohr magnetons per cell.

Cell: 4.035 4.059 8.629 Å, 90.00 90.00 90.00°
Space group Pmmm (No. 47)
Asymmetric unit:
Ba (0.000, 0.000, 0.236) [2 per cell]
Ta (0.500, 0.500, 0.000) [1 per cell]
Cd (0.500, 0.500, 0.500) [1 per cell]

---

Here are the energies relative to the best structure, in meV/atom: model a 429; model b 0.

---

Model a:
Material: BaTaCd3
Method: DFT, GGA-PBE
State: relaxed

Computed properties:
As for the volume: 166.9 Å³/f.u. The calculation puts the magnetization at 2.5 Bohr magnetons per cell.

Cell: 5.506 5.506 5.506 Å, 90.00 90.00 90.00°
Space group Pm-3m (No. 221)
Asymmetric unit:
Ba (0.000, 0.000, 0.000) [1 per cell]
Ta (0.500, 0.500, 0.500) [1 per cell]
Cd (0.000, 0.500, 0.500) [3 per cell]

---

Model b:
Material: BaTaCd3
Method: DFT, GGA-PBE
State: relaxed

Computed properties:
As for the volume: 240.2 Å³/f.u. The calculation puts the magnetization at 0.1 Bohr magnetons per cell.

Cell: 6.216 6.216 6.216 Å, 90.00 90.00 90.00°
Space group Pm-3m (No. 221)
Asymmetric unit:
Ba (0.000, 0.000, 0.000) [1 per cell]
Ta (0.500, 0.500, 0.500) [1 per cell]
Cd (0.000, 0.000, 0.500) [3 per cell]

---

Here are the energies relative to the best structure, in meV/atom: model a 0; model b 1497.